DFT (PBE) results for a relaxed structure of MgHgRu2.

The spin magnetization is 2.6 μB/cell. Its density of states at the Fermi level is 0.939 states/eV/atom. The energy above the most stable polymorph in this dataset comes out at 0.2684 eV per atom. The calculation puts the total energy at -4.768 eV per atom. As for the formation energy: 0.344 eV/atom.

It has space group P4/mmm (No. 123), with a = 3.9459 Å, b = 3.9459 Å, c = 4.2422 Å, α = 90.00°, β = 90.00° and γ = 90.00°. Symmetry generates all atoms from Mg at (0.0000, 0.0000, 0.0000), Hg at (0.5000, 0.5000, 0.0000) and Ru at (0.0000, 0.5000, 0.5000).